This record from the Alexandria database describes a relaxed Ni4P2H crystal. The functional is PBE-GGA. Values from VASP.

```
&SYSTEM
  ibrav = 0, nat = 14, ntyp = 3
/
ATOMIC_SPECIES
Ni 58.69 Ni.upf
P 30.97 P.upf
H 1.01 H.upf
ATOMIC_POSITIONS angstrom
Ni 0.000 0.000 2.084
Ni 0.000 0.000 9.560
Ni 0.000 1.757 0.000
Ni 0.000 1.757 5.822
Ni 1.757 0.000 0.000
Ni 1.757 0.000 5.822
Ni 1.757 1.757 3.738
Ni 1.757 1.757 7.906
P 0.000 0.000 4.241
P 0.000 0.000 7.403
P 1.757 1.757 1.581
P 1.757 1.757 10.063
H 0.000 0.000 0.000
H 1.757 1.757 5.822
CELL_PARAMETERS angstrom
3.514 0.000 0.000
0.000 3.514 0.000
0.000 0.000 11.644
```

Computed properties:
E_tot, eV for the cell shown: -77.878
Space-group type: I4/mmm, No. 139

This record from the Alexandria database describes a relaxed Pm4AlCd2Hg crystal. The functional is PBE-GGA. Values from VASP.

```
&SYSTEM
  ibrav = 0, nat = 8, ntyp = 4
/
ATOMIC_SPECIES
Pm 145.00 Pm.upf
Al 26.98 Al.upf
Cd 112.41 Cd.upf
Hg 200.59 Hg.upf
ATOMIC_POSITIONS angstrom
Pm 0.000 0.000 3.251
Pm 0.000 0.000 9.850
Pm 0.000 0.000 16.543
Pm 0.000 0.000 23.142
Al 0.000 0.000 0.000
Cd 0.000 0.000 6.618
Cd 0.000 0.000 19.774
Hg 0.000 0.000 13.196
CELL_PARAMETERS angstrom
2.679 1.547 8.798
-2.679 1.547 8.798
0.000 -3.094 8.798
```

Computed properties:
E_tot, eV for the cell shown: -27.784
Space-group type: R-3m, No. 166

This record from the Alexandria database describes a relaxed ZrAsRh2 crystal. The functional is PBE-GGA. Values from VASP.

```
&SYSTEM
  ibrav = 0, nat = 4, ntyp = 3
/
ATOMIC_SPECIES
Zr 91.22 Zr.upf
As 74.92 As.upf
Rh 102.91 Rh.upf
ATOMIC_POSITIONS angstrom
Zr 0.000 0.000 0.000
As 0.000 0.000 3.521
Rh 1.527 1.527 1.969
Rh 1.527 1.527 5.073
CELL_PARAMETERS angstrom
3.055 0.000 0.000
0.000 3.055 0.000
0.000 0.000 7.042
```

Computed properties:
E_tot, eV for the cell shown: -29.818
Space-group type: P4/mmm, No. 123

This record from the Alexandria database describes a relaxed Cd2HgPb crystal. The functional is PBE-GGA. Values from VASP.

```
&SYSTEM
  ibrav = 0, nat = 8, ntyp = 3
/
ATOMIC_SPECIES
Cd 112.41 Cd.upf
Hg 200.59 Hg.upf
Pb 207.20 Pb.upf
ATOMIC_POSITIONS angstrom
Cd 0.000 0.000 0.000
Cd 2.060 1.798 1.330
Cd 4.862 1.798 0.000
Cd 6.922 0.000 1.330
Hg 1.424 0.000 4.656
Hg 6.287 1.798 4.656
Pb 4.166 0.000 2.961
Pb 9.029 1.798 2.961
CELL_PARAMETERS angstrom
9.724 0.000 0.000
0.000 3.595 0.000
-1.371 0.000 6.000
```

Computed properties:
E_tot, eV for the cell shown: -11.324
Energy relative to the lowest polymorph listed for this composition, meV/atom: 5
Space-group type: Cm, No. 8

This record from the Alexandria database describes a relaxed Ni6OsPt crystal. The functional is PBE-GGA. Values from VASP.

```
&SYSTEM
  ibrav = 0, nat = 8, ntyp = 3
/
ATOMIC_SPECIES
Ni 58.69 Ni.upf
Os 190.23 Os.upf
Pt 195.08 Pt.upf
ATOMIC_POSITIONS angstrom
Ni 0.000 0.000 0.000
Ni 0.000 0.000 3.634
Ni 0.000 1.811 1.758
Ni 0.000 1.811 5.510
Ni 1.811 0.000 1.758
Ni 1.811 0.000 5.510
Os 1.811 1.811 0.000
Pt 1.811 1.811 3.634
CELL_PARAMETERS angstrom
3.622 0.000 0.000
0.000 3.622 0.000
0.000 0.000 7.268
```

Computed properties:
E_tot, eV for the cell shown: -51.699
Energy relative to the lowest polymorph listed for this composition, meV/atom: 0
Space-group type: P4/mmm, No. 123

This record from the Alexandria database describes a relaxed PrNpNi4 crystal. The functional is PBE-GGA. Values from VASP.

```
&SYSTEM
  ibrav = 0, nat = 6, ntyp = 3
/
ATOMIC_SPECIES
Pr 140.91 Pr.upf
Np 237.00 Np.upf
Ni 58.69 Ni.upf
ATOMIC_POSITIONS angstrom
Pr 0.000 0.000 0.000
Np 1.809 1.809 1.809
Ni 4.512 2.724 2.724
Ni 2.724 4.512 2.724
Ni 2.724 2.724 4.512
Ni 4.512 4.512 4.512
CELL_PARAMETERS angstrom
0.000 3.618 3.618
3.618 0.000 3.618
3.618 3.618 0.000
```

Computed properties:
E_tot, eV for the cell shown: -41.604
Space-group type: F-43m, No. 216

This record from the Alexandria database describes a relaxed TiReNi crystal. The functional is PBE-GGA. Values from VASP.

```
&SYSTEM
  ibrav = 0, nat = 6, ntyp = 3
/
ATOMIC_SPECIES
Ti 47.87 Ti.upf
Re 186.21 Re.upf
Ni 58.69 Ni.upf
ATOMIC_POSITIONS angstrom
Ti 0.000 0.000 0.000
Ti 1.573 1.573 4.244
Re 0.000 0.000 2.763
Re 1.573 1.573 7.007
Ni 0.000 0.000 5.670
Ni 1.573 1.573 1.426
CELL_PARAMETERS angstrom
3.147 0.000 0.000
0.000 3.147 0.000
0.000 0.000 8.488
```

Computed properties:
E_tot, eV for the cell shown: -52.649
Energy relative to the lowest polymorph listed for this composition, meV/atom: 172
Space-group type: I4mm, No. 107

This record from the Alexandria database describes a relaxed Ac2LaHg crystal. The functional is PBE-GGA. Values from VASP.

```
&SYSTEM
  ibrav = 0, nat = 4, ntyp = 3
/
ATOMIC_SPECIES
Ac 227.00 Ac.upf
La 138.91 La.upf
Hg 200.59 Hg.upf
ATOMIC_POSITIONS angstrom
Ac 0.000 2.658 0.000
Ac 2.658 0.000 0.000
La 0.000 0.000 2.526
Hg 2.658 2.658 2.526
CELL_PARAMETERS angstrom
5.316 0.000 0.000
0.000 5.316 0.000
0.000 0.000 5.052
```

Computed properties:
E_tot, eV for the cell shown: -13.929
Energy relative to the lowest polymorph listed for this composition, meV/atom: 106
Space-group type: P4/mmm, No. 123